VASP calculation (PBE) on crystalline Ni3Te2Se2 at its relaxed geometry.

Calculated values
Theoretical density = 7.285 Mg/m³
Excess energy over the best structure of this formula in the dataset = 0.002 eV/atom
Fermi-level density of states = 0.792 states/eV per atom
E = -4.526 eV/atom
Energy relative to the elements, uncorrected = -1.08 eV per formula unit

Structure (extended XYZ):
```
7
Lattice="3.539 0.000 0.000 -1.765 5.872 0.000 -0.003 -0.964 6.463" Properties=species:S:1:pos:R:3 pbc="T T T"
Ni 0.000 0.000 0.000
Ni 0.004 2.141 4.862
Ni 1.767 2.767 1.601
Te -0.002 1.119 2.477
Te 1.773 3.789 3.987
Se 0.001 4.235 0.526
Se 1.770 0.672 5.938
```